Arrangement i

# RbHoTl2 (PBE, optimized geometry)
# Total moment in μB/atom: 0.011
data_RbHoTl2
_space_group_name_H-M_alt 'P 4/m m m'
_space_group_IT_number 123
_space_group_name_Hall '-P 4 2'
_cell_length_a 3.885
_cell_length_b 3.885
_cell_length_c 8.972
_cell_angle_alpha 90.00
_cell_angle_beta 90.00
_cell_angle_gamma 90.00
loop_
_atom_site_label
_atom_site_type_symbol
_atom_site_fract_x
_atom_site_fract_y
_atom_site_fract_z
Rb1 Rb 0.000 0.000 0.000
Ho1 Ho 0.000 0.000 0.500
Tl1 Tl 0.500 0.500 0.303

---

Arrangement ii

# RbHoTl2 (PBE, optimized geometry)
# Total moment in μB/atom: 0.000
data_RbHoTl2
_space_group_name_H-M_alt 'R -3 m'
_space_group_IT_number 166
_space_group_name_Hall '-R 3 2"'
_cell_length_a 3.7848
_cell_length_b 3.7848
_cell_length_c 33.2367
_cell_angle_alpha 90.00
_cell_angle_beta 90.00
_cell_angle_gamma 120.00
loop_
_atom_site_label
_atom_site_type_symbol
_atom_site_fract_x
_atom_site_fract_y
_atom_site_fract_z
Rb1 Rb 0.0000 0.0000 0.0000
Ho1 Ho 0.0000 0.0000 0.5000
Tl1 Tl 0.0000 0.0000 0.2405

---

Which of them is the least stable? Correct choice: arrangement ii.

---

Arrangement i

# HoReTc (PBE, optimized geometry)
# Total moment in μB/atom: 0.000
data_HoReTc
_space_group_name_H-M_alt 'C 1 2/m 1'
_space_group_IT_number 12
_cell_length_a 8.557
_cell_length_b 5.524
_cell_length_c 5.126
_cell_angle_alpha 90.00
_cell_angle_beta 105.60
_cell_angle_gamma 90.00
loop_
_space_group_symop_operation_xyz
'x,y,z'
'-x,-y,-z'
'-x,y,-z'
'x,-y,z'
'x+1/2,y+1/2,z'
'-x+1/2,-y+1/2,-z'
'-x+1/2,y+1/2,-z'
'x+1/2,-y+1/2,z'
loop_
_atom_site_label
_atom_site_type_symbol
_atom_site_fract_x
_atom_site_fract_y
_atom_site_fract_z
Ho1 Ho 0.141 0.000 0.392
Re1 Re 0.010 0.500 0.748
Tc1 Tc 0.250 0.250 0.000

---

Arrangement ii

# HoReTc (PBE, optimized geometry)
# Total moment in μB/atom: 0.000
data_HoReTc
_space_group_name_H-M_alt 'A m m 2'
_space_group_IT_number 38
_cell_length_a 8.732
_cell_length_b 5.389
_cell_length_c 9.431
_cell_angle_alpha 90.00
_cell_angle_beta 90.00
_cell_angle_gamma 90.00
loop_
_space_group_symop_operation_xyz
'x,y,z'
'-x,-y,z'
'-x,y,z'
'x,-y,z'
'x,y+1/2,z+1/2'
'-x,-y+1/2,z+1/2'
'-x,y+1/2,z+1/2'
'x,-y+1/2,z+1/2'
loop_
_atom_site_label
_atom_site_type_symbol
_atom_site_fract_x
_atom_site_fract_y
_atom_site_fract_z
Ho1 Ho 0.188 0.000 0.000
Ho2 Ho 0.312 0.000 0.333
Re1 Re 0.000 0.244 0.251
Re2 Re 0.251 0.000 0.667
Tc1 Tc 0.000 0.000 0.494
Tc2 Tc 0.500 0.000 0.838
Tc3 Tc 0.500 0.242 0.081

---

Which of them is the least stable? Correct choice: arrangement i.